#a
This record from Alexandria describes a crystal of CrCoOs relaxed with PBEsol. The functional is SCAN.

Properties
Crystal system ... trigonal
Symmetry ... No. 156

Cell lengths 2.604, 2.604, 6.155 Å; angles 90.00, 90.00, 120.00 degrees
Element x y z (fractional)
Co 0.000 0.000 0.988
Cr 0.667 0.333 0.675
Os 0.333 0.667 0.337

=====

#b
This record from Alexandria describes a crystal of CrCoOs relaxed with PBEsol. The functional is SCAN.

Properties
Crystal system ... hexagonal
Symmetry ... No. 187

Cell lengths 2.555, 3.993, 3.993 Å; angles 120.00, 90.00, 90.00 degrees
Element x y z (fractional)
Os 0.333 0.667 0.333
Co 0.834 0.000 0.000
Cr 0.833 0.333 0.667

=====

#c
This record from Alexandria describes a crystal of CrCoOs relaxed with PBEsol. The functional is SCAN.

Properties
Crystal system ... cubic
Symmetry ... No. 216

Cell lengths 3.922, 3.922, 3.922 Å; angles 60.00, 60.00, 60.00 degrees
Element x y z (fractional)
Co 0.000 0.000 0.000
Cr 0.500 0.500 0.500
Os 0.250 0.250 0.250

=====

Q: Which of them is the most stable? A: #b.

=====

#a
This record from Alexandria describes a crystal of CrCoPb2 relaxed with PBEsol. The functional is SCAN.

Properties
Crystal system ... tetragonal
Symmetry ... No. 99

Cell lengths 3.112, 3.112, 8.108 Å; angles 90.00, 90.00, 90.00 degrees
Element x y z (fractional)
Co 0.000 0.000 0.559
Cr 0.500 0.500 0.687
Pb 0.000 0.000 0.930
Pb 0.500 0.500 0.324

=====

#b
This record from Alexandria describes a crystal of CrCoPb2 relaxed with PBEsol. The functional is SCAN.

Properties
Crystal system ... trigonal
Symmetry ... No. 166

Cell lengths 3.350, 3.350, 8.349 Å; angles 78.43, 78.43, 60.00 degrees
Element x y z (fractional)
Co 0.500 0.500 0.500
Cr 0.000 0.000 0.000
Pb 0.242 0.242 0.273
Pb 0.758 0.758 0.727

=====

Q: Which of them is the most stable? A: #a.

=====

#a
This record from Alexandria describes a crystal of CrCoPt2 relaxed with PBEsol. The functional is SCAN.

Properties
Crystal system ... tetragonal
Symmetry ... No. 123

Cell lengths 2.650, 2.650, 7.381 Å; angles 90.00, 90.00, 90.00 degrees
Element x y z (fractional)
Co 0.500 0.500 0.000
Cr 0.500 0.500 0.500
Pt 0.000 0.000 0.748
Pt 0.000 0.000 0.252

=====

#b
This record from Alexandria describes a crystal of CrCoPt2 relaxed with PBEsol. The functional is SCAN.

Properties
Crystal system ... orthorhombic
Symmetry ... No. 47

Cell lengths 2.654, 3.686, 5.321 Å; angles 90.00, 90.00, 90.00 degrees
Element x y z (fractional)
Cr 0.500 0.500 0.500
Co 0.500 0.500 0.000
Pt 0.000 0.000 0.751
Pt 0.000 0.000 0.249

=====

Q: Which of them is the most stable? A: #b.

=====

#a
This record from Alexandria describes a crystal of CrCo2Re relaxed with PBEsol. The functional is SCAN.

Properties
Crystal system ... tetragonal
Symmetry ... No. 139

Cell lengths 3.537, 3.537, 4.400 Å; angles 113.70, 113.70, 90.00 degrees
Element x y z (fractional)
Re 0.000 0.000 0.000
Co 0.250 0.750 0.500
Co 0.750 0.250 0.500
Cr 0.500 0.500 0.000

=====

#b
This record from Alexandria describes a crystal of CrCo2Re relaxed with PBEsol. The functional is SCAN.

Properties
Crystal system ... trigonal
Symmetry ... No. 166

Cell lengths 2.566, 2.566, 8.318 Å; angles 81.13, 81.13, 60.00 degrees
Element x y z (fractional)
Co 0.246 0.246 0.261
Co 0.754 0.754 0.739
Cr 0.500 0.500 0.500
Re 0.000 0.000 0.000

=====

#c
This record from Alexandria describes a crystal of CrCo2Re relaxed with PBEsol. The functional is SCAN.

Properties
Crystal system ... orthorhombic
Symmetry ... No. 65

Cell lengths 2.526, 4.398, 4.398 Å; angles 110.84, 90.00, 90.00 degrees
Element x y z (fractional)
Re 0.500 0.500 0.500
Co 0.000 0.500 0.000
Co 0.000 0.000 0.500
Cr 0.500 0.000 0.000

=====

Q: Which of them is the most stable? A: #a.

=====

#a
This record from Alexandria describes a crystal of CrCo2Re relaxed with PBEsol. The functional is SCAN.

Properties
Crystal system ... orthorhombic
Symmetry ... No. 25

Cell lengths 2.540, 4.052, 4.416 Å; angles 90.00, 90.01, 90.00 degrees
Element x y z (fractional)
Re 0.375 0.500 0.205
Co 0.875 0.000 0.035
Co 0.875 0.500 0.706
Cr 0.375 0.000 0.554

=====

#b
This record from Alexandria describes a crystal of CrCo2Re relaxed with PBEsol. The functional is SCAN.

Properties
Crystal system ... orthorhombic
Symmetry ... No. 47

Cell lengths 2.527, 3.617, 4.985 Å; angles 90.00, 90.00, 90.00 degrees
Element x y z (fractional)
Re 0.500 0.500 0.500
Co 0.000 0.000 0.757
Co 0.000 0.000 0.243
Cr 0.500 0.500 0.000

=====

Q: Which of them is the most stable? A: #a.

=====

#a
This record from Alexandria describes a crystal of CrCoRu2 relaxed with PBEsol. The functional is SCAN.

Properties
Crystal system ... orthorhombic
Symmetry ... No. 44

Cell lengths 2.816, 4.133, 4.884 Å; angles 115.03, 106.75, 90.00 degrees
Element x y z (fractional)
Co 0.483 0.483 0.965
Cr 0.764 0.264 0.528
Ru 0.015 0.015 0.030
Ru 0.239 0.739 0.477

=====

#b
This record from Alexandria describes a crystal of CrCoRu2 relaxed with PBEsol. The functional is SCAN.

Properties
Crystal system ... orthorhombic
Symmetry ... No. 38

Cell lengths 2.601, 3.934, 4.859 Å; angles 90.00, 105.52, 90.00 degrees
Element x y z (fractional)
Ru 0.078 0.000 0.156
Ru 0.419 0.500 0.837
Co 0.813 0.000 0.627
Cr 0.686 0.500 0.373

=====

Q: Which of them is the most stable? A: #b.

=====

#a
This record from Alexandria describes a crystal of CrCoRu2 relaxed with PBEsol. The functional is SCAN.

Properties
Crystal system ... tetragonal
Symmetry ... No. 123

Cell lengths 2.588, 2.588, 7.173 Å; angles 90.00, 90.00, 90.00 degrees
Element x y z (fractional)
Co 0.500 0.500 0.000
Cr 0.500 0.500 0.500
Ru 0.000 0.000 0.752
Ru 0.000 0.000 0.248

=====

#b
This record from Alexandria describes a crystal of CrCoRu2 relaxed with PBEsol. The functional is SCAN.

Properties
Crystal system ... tetragonal
Symmetry ... No. 123

Cell lengths 3.567, 3.664, 3.664 Å; angles 90.00, 90.00, 90.00 degrees
Element x y z (fractional)
Ru 0.000 0.000 0.500
Ru 0.000 0.500 0.000
Co 0.500 0.500 0.500
Cr 0.500 0.000 0.000

=====

#c
This record from Alexandria describes a crystal of CrCoRu2 relaxed with PBEsol. The functional is SCAN.

Properties
Crystal system ... tetragonal
Symmetry ... No. 119

Cell lengths 3.623, 3.623, 4.460 Å; angles 113.96, 113.96, 90.00 degrees
Element x y z (fractional)
Ru 0.000 0.000 0.000
Ru 0.750 0.250 0.500
Co 0.500 0.500 0.000
Cr 0.250 0.750 0.500

=====

Q: Which of them is the most stable? A: #b.

=====

#a
This record from Alexandria describes a crystal of ScCrCo2 relaxed with PBEsol. The functional is SCAN.

Properties
Crystal system ... cubic
Symmetry ... No. 216

Cell lengths 4.115, 4.115, 4.115 Å; angles 60.00, 60.00, 60.00 degrees
Element x y z (fractional)
Co 0.000 0.000 0.000
Co 0.250 0.250 0.250
Cr 0.500 0.500 0.500
Sc 0.750 0.750 0.750

=====

#b
This record from Alexandria describes a crystal of ScCrCo2 relaxed with PBEsol. The functional is SCAN.

Properties
Crystal system ... tetragonal
Symmetry ... No. 99

Cell lengths 2.931, 2.931, 5.994 Å; angles 90.00, 90.00, 90.00 degrees
Element x y z (fractional)
Co 0.000 0.000 0.036
Co 0.500 0.500 0.259
Cr 0.000 0.000 0.444
Sc 0.500 0.500 0.761

=====

Q: Which of them is the most stable? A: #a.

=====

#a
This record from Alexandria describes a crystal of ScCr2Co relaxed with PBEsol. The functional is SCAN.

Properties
Crystal system ... tetragonal
Symmetry ... No. 99

Cell lengths 2.908, 2.908, 6.093 Å; angles 90.00, 90.00, 90.00 degrees
Element x y z (fractional)
Co 0.500 0.500 0.775
Cr 0.000 0.000 0.012
Cr 0.500 0.500 0.206
Sc 0.000 0.000 0.507

=====

#b
This record from Alexandria describes a crystal of ScCr2Co relaxed with PBEsol. The functional is SCAN.

Properties
Crystal system ... monoclinic
Symmetry ... No. 10

Cell lengths 2.592, 4.320, 4.630 Å; angles 90.00, 102.37, 90.00 degrees
Element x y z (fractional)
Co 0.000 0.500 0.500
Cr 0.765 0.000 0.747
Cr 0.235 0.000 0.253
Sc 0.500 0.500 0.000

=====

Q: Which of them is the most stable? A: #a.

=====

#a
This record from Alexandria describes a crystal of ScCrCo relaxed with PBEsol. The functional is SCAN.

Properties
Crystal system ... cubic
Symmetry ... No. 216

Cell lengths 3.990, 3.990, 3.990 Å; angles 60.00, 60.00, 60.00 degrees
Element x y z (fractional)
Co 0.500 0.500 0.500
Cr 0.250 0.250 0.250
Sc 0.000 0.000 0.000

=====

#b
This record from Alexandria describes a crystal of ScCrCo relaxed with PBEsol. The functional is SCAN.

Properties
Crystal system ... cubic
Symmetry ... No. 216

Cell lengths 4.159, 4.159, 4.159 Å; angles 60.00, 60.00, 60.00 degrees
Element x y z (fractional)
Co 0.000 0.000 0.000
Cr 0.500 0.500 0.500
Sc 0.250 0.250 0.250

=====

Q: Which of them is the most stable? A: #a.

=====

#a
This record from Alexandria describes a crystal of SrCr2Co relaxed with PBEsol. The functional is SCAN.

Properties
Crystal system ... tetragonal
Symmetry ... No. 99

Cell lengths 2.984, 2.984, 7.330 Å; angles 90.00, 90.00, 90.00 degrees
Element x y z (fractional)
Co 0.500 0.500 0.828
Cr 0.000 0.000 0.993
Cr 0.500 0.500 0.162
Sr 0.000 0.000 0.516

=====

#b
This record from Alexandria describes a crystal of SrCr2Co relaxed with PBEsol. The functional is SCAN.

Properties
Crystal system ... tetragonal
Symmetry ... No. 123

Cell lengths 3.563, 3.563, 4.803 Å; angles 90.00, 90.00, 90.00 degrees
Element x y z (fractional)
Co 0.000 0.000 0.500
Cr 0.000 0.500 0.000
Cr 0.500 0.000 0.000
Sr 0.500 0.500 0.500

=====

Q: Which of them is the most stable? A: #a.

=====

#a
This record from Alexandria describes a crystal of TaCrCo relaxed with PBEsol. The functional is SCAN.

Properties
Crystal system ... cubic
Symmetry ... No. 216

Cell lengths 3.975, 3.975, 3.975 Å; angles 60.00, 60.00, 60.00 degrees
Element x y z (fractional)
Co 0.500 0.500 0.500
Cr 0.250 0.250 0.250
Ta 0.000 0.000 0.000

=====

#b
This record from Alexandria describes a crystal of TaCrCo relaxed with PBEsol. The functional is SCAN.

Properties
Crystal system ... orthorhombic
Symmetry ... No. 38

Cell lengths 4.713, 4.713, 7.899 Å; angles 90.00, 90.00, 119.40 degrees
Element x y z (fractional)
Ta 0.330 0.670 0.317
Ta 0.663 0.337 0.190
Ta 0.663 0.337 0.810
Ta 0.330 0.670 0.683
Cr 0.836 0.164 0.500
Cr 0.657 0.833 0.000
Cr 0.167 0.343 0.000
Cr 0.170 0.830 0.000
Co 0.000 0.000 0.256
Co 0.000 0.000 0.744
Co 0.346 0.161 0.500
Co 0.839 0.654 0.500

=====

Q: Which of them is the most stable? A: #b.

=====

#a
This record from Alexandria describes a crystal of CrCo2Tc relaxed with PBEsol. The functional is SCAN.

Properties
Crystal system ... cubic
Symmetry ... No. 216

Cell lengths 4.001, 4.001, 4.001 Å; angles 60.00, 60.00, 60.00 degrees
Element x y z (fractional)
Co 0.000 0.000 0.000
Co 0.750 0.750 0.750
Cr 0.500 0.500 0.500
Tc 0.250 0.250 0.250

=====

#b
This record from Alexandria describes a crystal of CrCo2Tc relaxed with PBEsol. The functional is SCAN.

Properties
Crystal system ... trigonal
Symmetry ... No. 160

Cell lengths 2.545, 2.545, 8.360 Å; angles 81.25, 81.25, 60.00 degrees
Element x y z (fractional)
Co 0.003 0.003 0.991
Co 0.750 0.750 0.749
Cr 0.494 0.494 0.517
Tc 0.252 0.252 0.243

=====

#c
This record from Alexandria describes a crystal of CrCo2Tc relaxed with PBEsol. The functional is SCAN.

Properties
Crystal system ... orthorhombic
Symmetry ... No. 25

Cell lengths 2.514, 4.029, 4.402 Å; angles 90.00, 90.00, 90.00 degrees
Element x y z (fractional)
Cr 0.500 0.000 0.551
Co 0.000 0.000 0.036
Co 0.000 0.500 0.708
Tc 0.500 0.500 0.205

=====

Q: Which of them is the most stable? A: #c.